Record 1
First-principles (PBE-GGA) data for a relaxed Pm3Mg7Ir4 crystal, as listed in Alexandria via LeMat-Bulk.

formation energy from the elements = -445 meV/atom
symmetry = No. 12
size of the total moment = 0.0 μB per cell

```
data_Pm3Mg7Ir4
_space_group_name_H-M_alt 'P 1'
_space_group_IT_number 1
_cell_length_a 8.386
_cell_length_b 8.386
_cell_length_c 10.532
_cell_angle_alpha 123.37
_cell_angle_beta 123.37
_cell_angle_gamma 29.21
loop_
_space_group_symop_operation_xyz
'x,y,z'
loop_
_atom_site_label
_atom_site_type_symbol
_atom_site_fract_x
_atom_site_fract_y
_atom_site_fract_z
Pm1 Pm 0.000 0.000 0.000
Pm2 Pm 0.300 0.300 0.281
Pm3 Pm 0.700 0.700 0.719
Mg1 Mg 0.000 0.000 0.500
Mg2 Mg 0.170 0.170 0.429
Mg3 Mg 0.320 0.320 0.989
Mg4 Mg 0.487 0.487 0.712
Mg5 Mg 0.513 0.513 0.288
Mg6 Mg 0.680 0.680 0.011
Mg7 Mg 0.830 0.830 0.571
Ir1 Ir 0.109 0.109 0.809
Ir2 Ir 0.336 0.336 0.743
Ir3 Ir 0.664 0.664 0.257
Ir4 Ir 0.891 0.891 0.191
```

=====

Record 2
First-principles (PBE-GGA) data for a relaxed Pm2MgIr9 crystal, as listed in Alexandria via LeMat-Bulk.

formation energy from the elements = -326 meV/atom
symmetry = No. 166
size of the total moment = 0.0 μB per cell

```
data_Pm2MgIr9
_space_group_name_H-M_alt 'P 1'
_space_group_IT_number 1
_cell_length_a 9.390
_cell_length_b 9.390
_cell_length_c 9.390
_cell_angle_alpha 32.80
_cell_angle_beta 32.80
_cell_angle_gamma 32.80
loop_
_space_group_symop_operation_xyz
'x,y,z'
loop_
_atom_site_label
_atom_site_type_symbol
_atom_site_fract_x
_atom_site_fract_y
_atom_site_fract_z
Pm1 Pm 0.137 0.137 0.137
Pm2 Pm 0.863 0.863 0.863
Mg1 Mg 0.000 0.000 0.000
Ir1 Ir 0.083 0.580 0.580
Ir2 Ir 0.333 0.333 0.333
Ir3 Ir 0.420 0.420 0.917
Ir4 Ir 0.420 0.917 0.420
Ir5 Ir 0.500 0.500 0.500
Ir6 Ir 0.580 0.083 0.580
Ir7 Ir 0.580 0.580 0.083
Ir8 Ir 0.667 0.667 0.667
Ir9 Ir 0.917 0.420 0.420
```

=====

Record 3
First-principles (PBE-GGA) data for a relaxed Pm8Mg3Ir2 crystal, as listed in Alexandria via LeMat-Bulk.

formation energy from the elements = -184 meV/atom
symmetry = No. 12
size of the total moment = 0.0 μB per cell

```
data_Pm8Mg3Ir2
_space_group_name_H-M_alt 'P 1'
_space_group_IT_number 1
_cell_length_a 9.462
_cell_length_b 9.462
_cell_length_c 5.684
_cell_angle_alpha 105.53
_cell_angle_beta 105.53
_cell_angle_gamma 55.35
loop_
_space_group_symop_operation_xyz
'x,y,z'
loop_
_atom_site_label
_atom_site_type_symbol
_atom_site_fract_x
_atom_site_fract_y
_atom_site_fract_z
Pm1 Pm 0.086 0.622 0.977
Pm2 Pm 0.099 0.099 0.475
Pm3 Pm 0.312 0.312 0.446
Pm4 Pm 0.378 0.914 0.023
Pm5 Pm 0.622 0.086 0.977
Pm6 Pm 0.688 0.688 0.554
Pm7 Pm 0.901 0.901 0.525
Pm8 Pm 0.914 0.378 0.023
Mg1 Mg 0.328 0.672 0.500
Mg2 Mg 0.500 0.500 0.000
Mg3 Mg 0.672 0.328 0.500
Ir1 Ir 0.249 0.249 0.904
Ir2 Ir 0.751 0.751 0.096
```

=====

Record 4
First-principles (PBE-GGA) data for a relaxed PmMgIr crystal, as listed in Alexandria via LeMat-Bulk.

formation energy from the elements = -380 meV/atom
symmetry = No. 107
size of the total moment = 0.0 μB per cell

```
data_PmMgIr
_space_group_name_H-M_alt 'P 1'
_space_group_IT_number 1
_cell_length_a 6.379
_cell_length_b 6.379
_cell_length_c 6.379
_cell_angle_alpha 149.42
_cell_angle_beta 149.42
_cell_angle_gamma 43.79
loop_
_space_group_symop_operation_xyz
'x,y,z'
loop_
_atom_site_label
_atom_site_type_symbol
_atom_site_fract_x
_atom_site_fract_y
_atom_site_fract_z
Pm1 Pm 0.000 0.000 0.000
Mg1 Mg 0.730 0.730 0.000
Ir1 Ir 0.354 0.354 0.000
```

=====

Record 5
First-principles (PBE-GGA) data for a relaxed Pm12MgIr7 crystal, as listed in Alexandria via LeMat-Bulk.

formation energy from the elements = -510 meV/atom
symmetry = No. 148
size of the total moment = 0.0 μB per cell

```
data_Pm12MgIr7
_space_group_name_H-M_alt 'P 1'
_space_group_IT_number 1
_cell_length_a 9.219
_cell_length_b 9.219
_cell_length_c 9.219
_cell_angle_alpha 110.64
_cell_angle_beta 110.64
_cell_angle_gamma 110.64
loop_
_space_group_symop_operation_xyz
'x,y,z'
loop_
_atom_site_label
_atom_site_type_symbol
_atom_site_fract_x
_atom_site_fract_y
_atom_site_fract_z
Pm1 Pm 0.110 0.659 0.253
Pm2 Pm 0.118 0.319 0.399
Pm3 Pm 0.253 0.110 0.659
Pm4 Pm 0.319 0.399 0.118
Pm5 Pm 0.341 0.747 0.890
Pm6 Pm 0.399 0.118 0.319
Pm7 Pm 0.601 0.882 0.681
Pm8 Pm 0.659 0.253 0.110
Pm9 Pm 0.681 0.601 0.882
Pm10 Pm 0.747 0.890 0.341
Pm11 Pm 0.882 0.681 0.601
Pm12 Pm 0.890 0.341 0.747
Mg1 Mg 0.000 0.000 0.000
Ir1 Ir 0.037 0.940 0.273
Ir2 Ir 0.060 0.727 0.963
Ir3 Ir 0.273 0.037 0.940
Ir4 Ir 0.500 0.500 0.500
Ir5 Ir 0.727 0.963 0.060
Ir6 Ir 0.940 0.273 0.037
Ir7 Ir 0.963 0.060 0.727
```

=====

Record 6
First-principles (PBE-GGA) data for a relaxed Pm6Mg3Ir crystal, as listed in Alexandria via LeMat-Bulk.

formation energy from the elements = -114 meV/atom
symmetry = No. 162
size of the total moment = 0.0 μB per cell

```
data_Pm6Mg3Ir
_space_group_name_H-M_alt 'P 1'
_space_group_IT_number 1
_cell_length_a 6.507
_cell_length_b 6.507
_cell_length_c 8.606
_cell_angle_alpha 90.00
_cell_angle_beta 90.00
_cell_angle_gamma 120.00
loop_
_space_group_symop_operation_xyz
'x,y,z'
loop_
_atom_site_label
_atom_site_type_symbol
_atom_site_fract_x
_atom_site_fract_y
_atom_site_fract_z
Pm1 Pm 0.000 0.352 0.312
Pm2 Pm 0.000 0.648 0.688
Pm3 Pm 0.352 0.000 0.312
Pm4 Pm 0.352 0.352 0.688
Pm5 Pm 0.648 0.000 0.688
Pm6 Pm 0.648 0.648 0.312
Mg1 Mg 0.000 0.000 0.000
Mg2 Mg 0.333 0.667 0.000
Mg3 Mg 0.667 0.333 0.000
Ir1 Ir 0.000 0.000 0.500
```

=====

Record 7
First-principles (PBE-GGA) data for a relaxed Pm3MgIr crystal, as listed in Alexandria via LeMat-Bulk.

formation energy from the elements = -207 meV/atom
symmetry = No. 221
size of the total moment = 0.0 μB per cell

```
data_Pm3MgIr
_space_group_name_H-M_alt 'P 1'
_space_group_IT_number 1
_cell_length_a 5.544
_cell_length_b 5.544
_cell_length_c 5.544
_cell_angle_alpha 90.00
_cell_angle_beta 90.00
_cell_angle_gamma 90.00
loop_
_space_group_symop_operation_xyz
'x,y,z'
loop_
_atom_site_label
_atom_site_type_symbol
_atom_site_fract_x
_atom_site_fract_y
_atom_site_fract_z
Pm1 Pm 0.000 0.000 0.500
Pm2 Pm 0.000 0.500 0.000
Pm3 Pm 0.500 0.000 0.000
Mg1 Mg 0.500 0.500 0.500
Ir1 Ir 0.000 0.000 0.000
```

=====

Record 8
First-principles (PBE-GGA) data for a relaxed PmMg3Ir crystal, as listed in Alexandria via LeMat-Bulk.

formation energy from the elements = -342 meV/atom
symmetry = No. 11
size of the total moment = 0.0 μB per cell

```
data_PmMg3Ir
_space_group_name_H-M_alt 'P 1'
_space_group_IT_number 1
_cell_length_a 5.541
_cell_length_b 5.898
_cell_length_c 7.374
_cell_angle_alpha 90.00
_cell_angle_beta 108.28
_cell_angle_gamma 90.00
loop_
_space_group_symop_operation_xyz
'x,y,z'
loop_
_atom_site_label
_atom_site_type_symbol
_atom_site_fract_x
_atom_site_fract_y
_atom_site_fract_z
Pm1 Pm 0.104 0.250 0.402
Pm2 Pm 0.896 0.750 0.598
Mg1 Mg 0.029 0.250 0.886
Mg2 Mg 0.493 0.000 0.207
Mg3 Mg 0.493 0.500 0.207
Mg4 Mg 0.507 0.000 0.793
Mg5 Mg 0.507 0.500 0.793
Mg6 Mg 0.971 0.750 0.114
Ir1 Ir 0.326 0.750 0.466
Ir2 Ir 0.674 0.250 0.534
```

=====

Record 9
First-principles (PBE-GGA) data for a relaxed PmMgIr crystal, as listed in Alexandria via LeMat-Bulk.

formation energy from the elements = -368 meV/atom
symmetry = No. 187
size of the total moment = 0.0 μB per cell

```
data_PmMgIr
_space_group_name_H-M_alt 'P 1'
_space_group_IT_number 1
_cell_length_a 4.517
_cell_length_b 4.517
_cell_length_c 3.776
_cell_angle_alpha 90.00
_cell_angle_beta 90.00
_cell_angle_gamma 120.00
loop_
_space_group_symop_operation_xyz
'x,y,z'
loop_
_atom_site_label
_atom_site_type_symbol
_atom_site_fract_x
_atom_site_fract_y
_atom_site_fract_z
Pm1 Pm 0.000 0.000 0.000
Mg1 Mg 0.667 0.333 0.500
Ir1 Ir 0.333 0.667 0.500
```

=====

Record 10
First-principles (PBE-GGA) data for a relaxed Pm5MgIr4 crystal, as listed in Alexandria via LeMat-Bulk.

formation energy from the elements = -521 meV/atom
symmetry = No. 123
size of the total moment = 0.0 μB per cell

```
data_Pm5MgIr4
_space_group_name_H-M_alt 'P 1'
_space_group_IT_number 1
_cell_length_a 3.595
_cell_length_b 3.595
_cell_length_c 18.083
_cell_angle_alpha 90.00
_cell_angle_beta 90.00
_cell_angle_gamma 90.00
loop_
_space_group_symop_operation_xyz
'x,y,z'
loop_
_atom_site_label
_atom_site_type_symbol
_atom_site_fract_x
_atom_site_fract_y
_atom_site_fract_z
Pm1 Pm 0.000 0.000 0.000
Pm2 Pm 0.000 0.000 0.189
Pm3 Pm 0.000 0.000 0.375
Pm4 Pm 0.000 0.000 0.625
Pm5 Pm 0.000 0.000 0.811
Mg1 Mg 0.500 0.500 0.500
Ir1 Ir 0.500 0.500 0.096
Ir2 Ir 0.500 0.500 0.289
Ir3 Ir 0.500 0.500 0.711
Ir4 Ir 0.500 0.500 0.904
```

=====

Record 11
First-principles (PBE-GGA) data for a relaxed Pm4MgIr3 crystal, as listed in Alexandria via LeMat-Bulk.

formation energy from the elements = -586 meV/atom
symmetry = No. 140
size of the total moment = 0.0 μB per cell

```
data_Pm4MgIr3
_space_group_name_H-M_alt 'P 1'
_space_group_IT_number 1
_cell_length_a 8.419
_cell_length_b 8.419
_cell_length_c 8.419
_cell_angle_alpha 96.99
_cell_angle_beta 96.99
_cell_angle_gamma 139.16
loop_
_space_group_symop_operation_xyz
'x,y,z'
loop_
_atom_site_label
_atom_site_type_symbol
_atom_site_fract_x
_atom_site_fract_y
_atom_site_fract_z
Pm1 Pm 0.083 0.781 0.865
Pm2 Pm 0.219 0.083 0.302
Pm3 Pm 0.281 0.583 0.865
Pm4 Pm 0.417 0.281 0.698
Pm5 Pm 0.583 0.719 0.302
Pm6 Pm 0.719 0.417 0.135
Pm7 Pm 0.781 0.917 0.698
Pm8 Pm 0.917 0.219 0.135
Mg1 Mg 0.250 0.750 0.500
Mg2 Mg 0.750 0.250 0.500
Ir1 Ir 0.154 0.346 0.500
Ir2 Ir 0.250 0.250 0.000
Ir3 Ir 0.346 0.846 0.191
Ir4 Ir 0.654 0.154 0.809
Ir5 Ir 0.750 0.750 0.000
Ir6 Ir 0.846 0.654 0.500
```

=====

Record 12
First-principles (PBE-GGA) data for a relaxed Pm2Mg2Ir crystal, as listed in Alexandria via LeMat-Bulk.

formation energy from the elements = -247 meV/atom
symmetry = No. 141
size of the total moment = 0.0 μB per cell

```
data_Pm2Mg2Ir
_space_group_name_H-M_alt 'P 1'
_space_group_IT_number 1
_cell_length_a 12.639
_cell_length_b 12.639
_cell_length_c 12.639
_cell_angle_alpha 158.36
_cell_angle_beta 158.36
_cell_angle_gamma 30.78
loop_
_space_group_symop_operation_xyz
'x,y,z'
loop_
_atom_site_label
_atom_site_type_symbol
_atom_site_fract_x
_atom_site_fract_y
_atom_site_fract_z
Pm1 Pm 0.061 0.311 0.750
Pm2 Pm 0.311 0.061 0.250
Pm3 Pm 0.689 0.939 0.750
Pm4 Pm 0.939 0.689 0.250
Mg1 Mg 0.196 0.446 0.750
Mg2 Mg 0.446 0.196 0.250
Mg3 Mg 0.554 0.804 0.750
Mg4 Mg 0.804 0.554 0.250
Ir1 Ir 0.375 0.625 0.750
Ir2 Ir 0.625 0.375 0.250
```